Record 1
# Pr2SmAg PBE relaxed
data_Pr2SmAg
_chemical_formula_sum 'Pr2 Sm1 Ag1'
_cell_length_a 3.741
_cell_length_b 3.741
_cell_length_c 8.918
_cell_angle_alpha 90.00
_cell_angle_beta 90.00
_cell_angle_gamma 90.00
_space_group_name_H-M_alt 'P 4/m m m'
_space_group_IT_number 123
_space_group_name_Hall '-P 4 2'
loop_
_atom_site_label
_atom_site_type_symbol
_atom_site_fract_x
_atom_site_fract_y
_atom_site_fract_z
Pr1 Pr 0.000 0.000 0.217
Sm1 Sm 0.500 0.500 0.500
Ag1 Ag 0.500 0.500 0.000
# M_tot: 0.000 μB per atom
# Crystal system: tetragonal
# D(E_F): 6.37 states/eV/cell
# Volume: 125 Å³ per cell
# Formation energy: -0.097 eV per atom
# ρ: 7.2 g/cm3
# E: -4.380 eV per atom

=====

Record 2
# Pr2SmAg PBE relaxed
data_Pr2SmAg
_chemical_formula_sum 'Pr6 Sm3 Ag3'
_cell_length_a 3.6901
_cell_length_b 3.6901
_cell_length_c 32.4169
_cell_angle_alpha 90.00
_cell_angle_beta 90.00
_cell_angle_gamma 120.00
_space_group_name_H-M_alt 'R -3 m'
_space_group_IT_number 166
_space_group_name_Hall '-R 3 2"'
loop_
_atom_site_label
_atom_site_type_symbol
_atom_site_fract_x
_atom_site_fract_y
_atom_site_fract_z
Pr1 Pr 0.0000 0.0000 0.2414
Sm1 Sm 0.0000 0.0000 0.0000
Ag1 Ag 0.0000 0.0000 0.5000
# M_tot: 0.000 μB per atom
# Crystal system: trigonal
# D(E_F): 12.67 states/eV/cell
# Volume: 382 Å³ per cell
# Formation energy: -0.006 eV per atom
# ρ: 7.0 g/cm3
# E: -4.288 eV per atom

=====

Record 3
# Pr2SmAg2 PBE relaxed
data_Pr2SmAg2
_chemical_formula_sum 'Pr8 Sm4 Ag8'
_cell_length_a 8.024
_cell_length_b 11.753
_cell_length_c 6.258
_cell_angle_alpha 90.00
_cell_angle_beta 90.00
_cell_angle_gamma 90.00
_space_group_name_H-M_alt 'I b a m'
_space_group_IT_number 72
_space_group_name_Hall '-I 2 2c'
loop_
_atom_site_label
_atom_site_type_symbol
_atom_site_fract_x
_atom_site_fract_y
_atom_site_fract_z
Pr1 Pr 0.147 0.211 0.000
Sm1 Sm 0.000 0.500 0.250
Ag1 Ag 0.165 0.056 0.500
# M_tot: 0.000 μB per atom
# Crystal system: orthorhombic
# D(E_F): 21.79 states/eV/cell
# Volume: 590 Å³ per cell
# Formation energy: -0.038 eV per atom
# ρ: 7.3 g/cm3
# E: -4.034 eV per atom

=====

Record 4
# PrSm4Ag5 PBE relaxed
data_PrSm4Ag5
_chemical_formula_sum 'Pr1 Sm4 Ag5'
_cell_length_a 3.699
_cell_length_b 3.699
_cell_length_c 18.909
_cell_angle_alpha 90.00
_cell_angle_beta 90.00
_cell_angle_gamma 90.00
_space_group_name_H-M_alt 'P 4/m m m'
_space_group_IT_number 123
_space_group_name_Hall '-P 4 2'
loop_
_atom_site_label
_atom_site_type_symbol
_atom_site_fract_x
_atom_site_fract_y
_atom_site_fract_z
Pr1 Pr 0.000 0.000 0.000
Sm1 Sm 0.000 0.000 0.203
Sm2 Sm 0.000 0.000 0.401
Ag1 Ag 0.500 0.500 0.106
Ag2 Ag 0.500 0.500 0.302
Ag3 Ag 0.500 0.500 0.500
# M_tot: 0.000 μB per atom
# Crystal system: tetragonal
# D(E_F): 6.29 states/eV/cell
# Volume: 259 Å³ per cell
# Formation energy: -0.274 eV per atom
# ρ: 8.2 g/cm3
# E: -4.065 eV per atom